# 1
TlFe2CoN | Alexandria via LeMat-Bulk | PBE | optimized geometry; symmetry = P4/mmm; E_form (uncorrected) = 0.16 eV per atom
1.0
3.9005 0.0000 0.0000
0.0000 3.9005 0.0000
0.0000 0.0000 3.9836
Tl Fe Co N
1 2 1 1
Cartesian
0.0000 0.0000 0.0000
0.0000 1.9502 1.9918
1.9502 0.0000 1.9918
1.9502 1.9502 0.0000
1.9502 1.9502 1.9918


# 2
FeCo2WN | Alexandria via LeMat-Bulk | PBE | optimized geometry; symmetry = P4/mmm; E_form (uncorrected) = 0.25 eV per atom
1.0
3.7884 0.0000 0.0000
0.0000 3.7884 0.0000
0.0000 0.0000 3.8292
Fe Co W N
1 2 1 1
Cartesian
0.0000 0.0000 0.0000
0.0000 1.8942 1.9146
1.8942 0.0000 1.9146
1.8942 1.8942 0.0000
0.0000 0.0000 1.9146


# 3
Y2FeCoN | Alexandria via LeMat-Bulk | PBE | optimized geometry; symmetry = P4/mmm; E_form (uncorrected) = 0.82 eV per atom
1.0
5.0517 0.0000 0.0000
0.0000 5.0517 0.0000
0.0000 0.0000 3.9433
Y Fe Co N
2 1 1 1
Cartesian
0.0000 2.5258 0.0000
2.5258 0.0000 0.0000
0.0000 0.0000 0.0000
0.0000 0.0000 1.9716
2.5258 2.5258 1.9716


# 4
ZnFeCo2N | Alexandria via LeMat-Bulk | PBE | optimized geometry; symmetry = P4/mmm; E_form (uncorrected) = -0.07 eV per atom
1.0
3.7577 0.0000 0.0000
0.0000 3.7577 0.0000
0.0000 0.0000 3.7039
Zn Fe Co N
1 1 2 1
Cartesian
0.0000 0.0000 0.0000
1.8789 1.8789 0.0000
0.0000 1.8789 1.8519
1.8789 0.0000 1.8519
1.8789 1.8789 1.8519


# 5
Na3FeCo | Alexandria via LeMat-Bulk | PBE | optimized geometry; symmetry = Pm-3m; ΔE to the lowest computed polymorph = 0.000 eV per atom
1.0
5.3006 0.0000 0.0000
0.0000 5.3006 0.0000
0.0000 0.0000 5.3006
Na Fe Co
3 1 1
Cartesian
0.0000 0.0000 2.6503
0.0000 2.6503 0.0000
2.6503 0.0000 0.0000
2.6503 2.6503 2.6503
0.0000 0.0000 0.0000


# 6
NaFeCo3 | Alexandria via LeMat-Bulk | PBE | optimized geometry; symmetry = Pm-3m; ΔE to the lowest computed polymorph = 0.971 eV per atom
1.0
4.2478 0.0000 0.0000
0.0000 4.2478 0.0000
0.0000 0.0000 4.2478
Na Fe Co
1 1 3
Cartesian
0.0000 0.0000 0.0000
2.1239 2.1239 2.1239
0.0000 0.0000 2.1239
0.0000 2.1239 0.0000
2.1239 0.0000 0.0000


# 7
NaFeCo | Alexandria via LeMat-Bulk | PBE | optimized geometry; symmetry = F-43m; ΔE to the lowest computed polymorph = 1.085 eV per atom
1.0
0.0000 2.8262 2.8262
2.8262 0.0000 2.8262
2.8262 2.8262 0.0000
Na Fe Co
1 1 1
Cartesian
0.0000 0.0000 0.0000
2.8262 2.8262 2.8262
4.2393 4.2393 4.2393


# 8
NaFeCo | Alexandria via LeMat-Bulk | PBE | optimized geometry; symmetry = P-1; ΔE to the lowest computed polymorph = 0.179 eV per atom
1.0
4.1751 0.0000 0.0000
0.0245 4.7136 0.0000
0.0084 2.1217 5.3439
Na Fe Co
2 2 2
Cartesian
1.0532 2.1754 2.6138
3.1547 4.6600 2.7301
1.0649 4.1403 0.2460
3.1431 2.6951 5.0979
1.0624 3.8741 5.1364
3.1455 2.9612 0.2075


# 9
NaFeCo | Alexandria via LeMat-Bulk | PBE | optimized geometry; symmetry = P2_1/m; ΔE to the lowest computed polymorph = 0.065 eV per atom
1.0
2.6504 0.0000 0.0000
0.0000 3.8390 0.0000
-1.2836 0.0000 10.3928
Na Fe Co
2 2 2
Cartesian
-0.0142 0.9598 3.6358
1.3809 2.8793 6.7569
0.0088 0.9598 0.7777
1.3579 2.8793 9.6150
0.0381 0.9598 8.9743
1.3287 2.8793 1.4184


# 10
NaFe2Co | Alexandria via LeMat-Bulk | PBE | optimized geometry; symmetry = I-42d; ΔE to the lowest computed polymorph = 0.000 eV per atom
1.0
-3.4265 3.4265 2.6102
3.4265 -3.4265 2.6102
3.4265 3.4265 -2.6102
Na Fe Co
2 4 2
Cartesian
0.0000 0.0000 0.0000
0.0000 3.4265 1.3051
1.7133 2.0205 -0.6525
4.8325 1.7133 0.6525
1.7133 1.4060 1.9576
-1.4060 1.7133 3.2627
3.4265 0.0000 1.3051
0.0000 0.0000 2.6102


# 11
NaFeCo | Alexandria via LeMat-Bulk | PBE | optimized geometry; symmetry = P1; ΔE to the lowest computed polymorph = 0.084 eV per atom
1.0
2.6549 0.0000 0.0000
-0.0016 3.8858 0.0000
-0.9206 -0.0121 10.3052
Na Fe Co
2 2 2
Cartesian
0.0000 0.0000 0.0000
0.2674 1.9395 7.2262
0.1351 1.9468 4.3672
1.4683 0.0032 4.9349
0.1437 0.0041 2.8329
1.4535 1.9467 2.2068


# 12
NaFeCo | Alexandria via LeMat-Bulk | PBE | optimized geometry; symmetry = P1; ΔE to the lowest computed polymorph = 0.169 eV per atom
1.0
2.5655 0.0000 0.0000
0.0395 3.8289 0.0000
0.5110 0.0323 10.3158
Na Fe Co
2 2 2
Cartesian
0.0000 0.0000 0.0000
0.7600 1.9370 3.1138
0.6236 1.9411 6.0065
1.9066 1.9421 8.1340
0.6141 0.0274 7.4594
1.8989 0.0263 5.2898


| no. | volume (Å³ per atom) | density (Mg/m³) | spin magnetization (μB/f.u.) |
| --- | --- | --- | --- |
| 1 | 12.12 | 10.7 | 5.0 |
| 2 | 10.99 | 11.2 | 4.4 |
| 3 | 20.13 | 5.1 | 1.5 |
| 4 | 10.46 | 8.0 | 0.9 |
| 5 | 29.79 | 2.0 | 4.3 |
| 6 | 15.33 | 5.5 | 7.8 |
| 7 | 15.05 | 5.1 | 0.0 |
| 8 | 17.53 | 4.4 | 4.1 |
| 9 | 17.62 | 4.3 | 4.0 |
| 10 | 15.32 | 5.2 | 7.0 |
| 11 | 17.72 | 4.3 | 4.1 |
| 12 | 16.89 | 4.5 | 2.2 |